Ca2CuW: relaxed, GGA-PBE.

Lattice parameters (Å, degrees): 8.0432 8.0432 5.8242 90.00 90.00 90.00
Last column: nearest neighbours and their distance in Å.
Positions (direct):
Ca (0.2098, 0.2500, 0.1250)  2 Cu 2.72, 2 Ca 2.98
Ca (0.2500, 0.7098, 0.3750)  2 Cu 2.72, 2 Ca 2.98
Ca (0.2500, 0.7902, 0.8750)  2 Cu 2.72, 2 Ca 2.98
Ca (0.2902, 0.2500, 0.6250)  2 Cu 2.72, 2 Ca 2.98
Ca (0.7098, 0.7500, 0.6250)  2 Cu 2.72, 2 Ca 2.98
Ca (0.7500, 0.2098, 0.8750)  2 Cu 2.72, 2 Ca 2.98
Ca (0.7500, 0.2902, 0.3750)  2 Cu 2.72, 2 Ca 2.98
Ca (0.7902, 0.7500, 0.1250)  2 Cu 2.72, 2 Ca 2.98
Cu (0.0000, 0.0000, 0.0000)  4 Ca 2.72, 2 W 2.91
Cu (0.0000, 0.5000, 0.2500)  4 Ca 2.72, 2 W 2.91
Cu (0.5000, 0.0000, 0.7500)  4 Ca 2.72, 2 W 2.91
Cu (0.5000, 0.5000, 0.5000)  4 Ca 2.72, 2 W 2.91
W (0.0000, 0.0000, 0.5000)  2 Cu 2.91, 4 Ca 3.17
W (0.0000, 0.5000, 0.7500)  2 Cu 2.91, 4 Ca 3.17
W (0.5000, 0.0000, 0.2500)  2 Cu 2.91, 4 Ca 3.17
W (0.5000, 0.5000, 0.0000)  2 Cu 2.91, 4 Ca 3.17

* calculated volume: 94.2 Å³/f.u.
* E above lowest polymorph: 546 meV per atom
* final energy: -4.16 eV/atom

---

Ca2CuW: relaxed, GGA-PBE.

Lattice parameters (Å, degrees): 3.1416 3.1416 29.9955 90.00 90.00 120.00
Last column: nearest neighbours and their distance in Å.
Positions (direct):
Ca (0.0000, 0.0000, 0.2476)  3 Cu 3.03, 6 Ca 3.14, 3 W 3.15
Ca (0.0000, 0.0000, 0.7524)  3 Cu 3.03, 6 Ca 3.14, 3 W 3.15
Ca (0.3333, 0.6667, 0.4190)  3 Cu 3.03, 6 Ca 3.14, 3 W 3.15
Ca (0.3333, 0.6667, 0.9143)  3 Cu 3.03, 6 Ca 3.14, 3 W 3.15
Ca (0.6667, 0.3333, 0.0857)  3 Cu 3.03, 6 Ca 3.14, 3 W 3.15
Ca (0.6667, 0.3333, 0.5810)  3 Cu 3.03, 6 Ca 3.14, 3 W 3.15
Cu (0.0000, 0.0000, 0.5000)  6 Ca 3.03, 6 Cu 3.14
Cu (0.3333, 0.6667, 0.1667)  6 Ca 3.03, 6 Cu 3.14
Cu (0.6667, 0.3333, 0.8333)  6 Ca 3.03, 6 Cu 3.14
W (0.0000, 0.0000, 0.0000)  6 W 3.14, 6 Ca 3.15
W (0.3333, 0.6667, 0.6667)  6 W 3.14, 6 Ca 3.15
W (0.6667, 0.3333, 0.3333)  6 W 3.14, 6 Ca 3.15

* calculated volume: 85.5 Å³/f.u.
* E above lowest polymorph: 243 meV per atom
* final energy: -4.47 eV/atom

---

Ca2CuW: relaxed, GGA-PBE.

Lattice parameters (Å, degrees): 4.3594 4.3594 4.5421 90.00 90.00 90.00
Last column: nearest neighbours and their distance in Å.
Positions (direct):
Ca (0.0000, 0.5000, 0.0000)  4 Ca 3.08, 4 W 3.15, 4 Cu 3.15
Ca (0.5000, 0.0000, 0.0000)  4 Ca 3.08, 4 W 3.15, 4 Cu 3.15
Cu (0.0000, 0.0000, 0.5000)  4 W 3.08, 8 Ca 3.15
W (0.5000, 0.5000, 0.5000)  4 Cu 3.08, 8 Ca 3.15

* calculated volume: 86.3 Å³/f.u.
* E above lowest polymorph: 399 meV per atom
* final energy: -4.31 eV/atom

---

CaCuW2: relaxed, GGA-PBE.

Lattice parameters (Å, degrees): 3.0653 4.5122 5.1242 90.00 90.00 90.00
Last column: nearest neighbours and their distance in Å.
Positions (direct):
Ca (0.0000, 0.0000, 0.0000)  4 Cu 2.73, 4 W 2.99
Cu (0.5000, 0.5000, 0.0000)  4 Ca 2.73, 4 W 2.99
W (0.0000, 0.5000, 0.5000)  4 W 2.73, 4 Cu 2.99
W (0.5000, 0.0000, 0.5000)  4 W 2.73, 4 Ca 2.99

* calculated volume: 70.9 Å³/f.u.
* E above lowest polymorph: 225 meV per atom
* final energy: -7.30 eV/atom

---

CaCuW2: relaxed, GGA-PBE.

Lattice parameters (Å, degrees): 6.5040 6.5040 6.5040 90.00 90.00 90.00
Last column: nearest neighbours and their distance in Å.
Positions (direct):
Ca (0.0000, 0.0000, 0.0000)  4 W 2.82, 4 Cu 2.82
Ca (0.0000, 0.5000, 0.5000)  4 W 2.82, 4 Cu 2.82
Ca (0.5000, 0.0000, 0.5000)  4 W 2.82, 4 Cu 2.82
Ca (0.5000, 0.5000, 0.0000)  4 W 2.82, 4 Cu 2.82
Cu (0.2500, 0.2500, 0.2500)  4 W 2.82, 4 Ca 2.82
Cu (0.2500, 0.7500, 0.7500)  4 W 2.82, 4 Ca 2.82
Cu (0.7500, 0.2500, 0.7500)  4 W 2.82, 4 Ca 2.82
Cu (0.7500, 0.7500, 0.2500)  4 W 2.82, 4 Ca 2.82
W (0.0000, 0.0000, 0.5000)  4 W 2.82, 4 Cu 2.82
W (0.0000, 0.5000, 0.0000)  4 W 2.82, 4 Cu 2.82
W (0.2500, 0.2500, 0.7500)  4 W 2.82, 4 Ca 2.82
W (0.2500, 0.7500, 0.2500)  4 W 2.82, 4 Ca 2.82
W (0.5000, 0.0000, 0.0000)  4 W 2.82, 4 Cu 2.82
W (0.5000, 0.5000, 0.5000)  4 W 2.82, 4 Cu 2.82
W (0.7500, 0.2500, 0.2500)  4 W 2.82, 4 Ca 2.82
W (0.7500, 0.7500, 0.7500)  4 W 2.82, 4 Ca 2.82

* calculated volume: 68.8 Å³/f.u.
* E above lowest polymorph: 243 meV per atom
* final energy: -7.28 eV/atom

---

CaY2Cu: relaxed, GGA-PBE.

Lattice parameters (Å, degrees): 8.6111 8.6111 6.4395 90.00 90.00 90.00
Last column: nearest neighbours and their distance in Å.
Positions (direct):
Ca (0.0000, 0.0000, 0.0000)  2 Cu 3.22, 4 Y 3.58
Ca (0.0000, 0.5000, 0.2500)  2 Cu 3.22, 4 Y 3.58
Ca (0.5000, 0.0000, 0.7500)  2 Cu 3.22, 4 Y 3.58
Ca (0.5000, 0.5000, 0.5000)  2 Cu 3.22, 4 Y 3.58
Y (0.1770, 0.2500, 0.6250)  2 Cu 2.76
Y (0.2500, 0.6770, 0.8750)  2 Cu 2.76
Y (0.2500, 0.8230, 0.3750)  2 Cu 2.76
Y (0.3230, 0.2500, 0.1250)  2 Cu 2.76
Y (0.6770, 0.7500, 0.1250)  2 Cu 2.76
Y (0.7500, 0.1770, 0.3750)  2 Cu 2.76
Y (0.7500, 0.3230, 0.8750)  2 Cu 2.76
Y (0.8230, 0.7500, 0.6250)  2 Cu 2.76
Cu (0.0000, 0.0000, 0.5000)  4 Y 2.76
Cu (0.0000, 0.5000, 0.7500)  4 Y 2.76
Cu (0.5000, 0.0000, 0.2500)  4 Y 2.76
Cu (0.5000, 0.5000, 0.0000)  4 Y 2.76

* calculated volume: 119.4 Å³/f.u.
* E above lowest polymorph: 194 meV per atom
* final energy: -4.62 eV/atom

---

CaYCu3: relaxed, GGA-PBE.

Lattice parameters (Å, degrees): 12.9139 12.9139 4.2875 90.00 90.00 163.15
Last column: nearest neighbours and their distance in Å.
Positions (direct):
Ca (0.2024, 0.7976, 0.7500)  6 Cu 2.92-3.02
Ca (0.7976, 0.2024, 0.2500)  6 Cu 2.92-3.02
Y (0.0691, 0.9309, 0.2500)  12 Cu 3.00-3.10
Y (0.9309, 0.0691, 0.7500)  12 Cu 3.00-3.10
Cu (0.3361, 0.6639, 0.7500)  2 Cu 2.48
Cu (0.3846, 0.6154, 0.2500)  3 Cu 2.39-2.48
Cu (0.4780, 0.5220, 0.2500)  3 Cu 2.39-2.42
Cu (0.5220, 0.4780, 0.7500)  3 Cu 2.39-2.42
Cu (0.6154, 0.3846, 0.7500)  3 Cu 2.39-2.48
Cu (0.6639, 0.3361, 0.2500)  2 Cu 2.48

* calculated volume: 103.7 Å³/f.u.
* E above lowest polymorph: 0 meV per atom
* final energy: -4.34 eV/atom

---

CaY2Cu: relaxed, GGA-PBE.

Lattice parameters (Å, degrees): 3.9919 5.2365 5.2789 90.00 90.00 90.00
Last column: nearest neighbours and their distance in Å.
Positions (direct):
Ca (0.0000, 0.0000, 0.0000)  4 Cu 3.29, 4 Y 3.31
Y (0.0000, 0.5000, 0.5000)  4 Y 3.29, 4 Cu 3.31
Y (0.5000, 0.0000, 0.5000)  4 Y 3.29, 4 Ca 3.31
Cu (0.5000, 0.5000, 0.0000)  4 Ca 3.29, 4 Y 3.31

* calculated volume: 110.3 Å³/f.u.
* E above lowest polymorph: 257 meV per atom
* final energy: -4.55 eV/atom

---

CaY2Cu: relaxed, GGA-PBE.

Lattice parameters (Å, degrees): 4.6184 4.6184 10.4418 90.00 90.00 90.00
Last column: nearest neighbours and their distance in Å.
Positions (direct):
Ca (0.0000, 0.0000, 0.0000)  4 Cu 3.27, 8 Y 3.49
Ca (0.5000, 0.5000, 0.5000)  4 Cu 3.27, 8 Y 3.49
Y (0.0000, 0.5000, 0.2500)  4 Y 3.27, 4 Ca 3.49, 4 Cu 3.49
Y (0.0000, 0.5000, 0.7500)  4 Y 3.27, 4 Cu 3.49, 4 Ca 3.49
Y (0.5000, 0.0000, 0.2500)  4 Y 3.27, 4 Ca 3.49, 4 Cu 3.49
Y (0.5000, 0.0000, 0.7500)  4 Y 3.27, 4 Cu 3.49, 4 Ca 3.49
Cu (0.0000, 0.0000, 0.5000)  4 Ca 3.27, 8 Y 3.49
Cu (0.5000, 0.5000, 0.0000)  4 Ca 3.27, 8 Y 3.49

* calculated volume: 111.4 Å³/f.u.
* E above lowest polymorph: 300 meV per atom
* final energy: -4.51 eV/atom

---

Ca2YCu2: relaxed, GGA-PBE.

Lattice parameters (Å, degrees): 8.4812 8.4812 3.3283 90.00 90.00 90.00
Last column: nearest neighbours and their distance in Å.
Positions (direct):
Ca (0.1329, 0.3671, 0.0000)  6 Cu 2.91-3.06, 1 Ca 3.19
Ca (0.3671, 0.8671, 0.0000)  6 Cu 2.91-3.06, 1 Ca 3.19
Ca (0.6329, 0.1329, 0.0000)  6 Cu 2.91-3.06, 1 Ca 3.19
Ca (0.8671, 0.6329, 0.0000)  6 Cu 2.91-3.06, 1 Ca 3.19
Y (0.0000, 0.0000, 0.0000)  4 Ca 3.31, 2 Y 3.33, 8 Cu 3.57
Y (0.5000, 0.5000, 0.0000)  4 Ca 3.31, 2 Y 3.33, 8 Cu 3.57
Cu (0.1679, 0.6679, 0.5000)  6 Ca 2.91-3.06
Cu (0.3321, 0.1679, 0.5000)  6 Ca 2.91-3.06
Cu (0.6679, 0.8321, 0.5000)  6 Ca 2.91-3.06
Cu (0.8321, 0.3321, 0.5000)  6 Ca 2.91-3.06

* calculated volume: 119.7 Å³/f.u.
* E above lowest polymorph: 224 meV per atom
* final energy: -3.60 eV/atom

---

CaY2Cu2: relaxed, GGA-PBE.

Lattice parameters (Å, degrees): 4.8746 4.8746 10.8750 90.00 90.00 90.00
Last column: nearest neighbours and their distance in Å.
Positions (direct):
Ca (0.0000, 0.0000, 0.0000)  8 Cu 3.64, 8 Y 3.65
Ca (0.5000, 0.5000, 0.5000)  8 Cu 3.64, 8 Y 3.65
Y (0.0000, 0.5000, 0.2500)  4 Cu 2.88
Y (0.0000, 0.5000, 0.7500)  4 Cu 2.88
Y (0.5000, 0.0000, 0.2500)  4 Cu 2.88
Y (0.5000, 0.0000, 0.7500)  4 Cu 2.88
Cu (0.0000, 0.0000, 0.3917)  1 Cu 2.36
Cu (0.0000, 0.0000, 0.6083)  1 Cu 2.36
Cu (0.5000, 0.5000, 0.1083)  1 Cu 2.36
Cu (0.5000, 0.5000, 0.8917)  1 Cu 2.36

* calculated volume: 129.2 Å³/f.u.
* E above lowest polymorph: 109 meV per atom
* final energy: -4.64 eV/atom

---

CaYCu3: relaxed, GGA-PBE.

Lattice parameters (Å, degrees): 5.1007 5.1007 5.1007 90.00 90.00 90.00
Last column: nearest neighbours and their distance in Å.
Positions (direct):
Ca (0.0000, 0.0000, 0.0000)  12 Cu 3.61
Y (0.5000, 0.5000, 0.5000)  6 Cu 2.55
Cu (0.0000, 0.5000, 0.5000)  2 Y 2.55
Cu (0.5000, 0.0000, 0.5000)  2 Y 2.55
Cu (0.5000, 0.5000, 0.0000)  2 Y 2.55

* calculated volume: 132.7 Å³/f.u.
* E above lowest polymorph: 759 meV per atom
* final energy: -3.58 eV/atom

---

Among the records above, which one has the lowest E above lowest polymorph? number 7

---

Repeat the tenth record exactly.
Ca2YCu2: relaxed, GGA-PBE.

Lattice parameters (Å, degrees): 8.4812 8.4812 3.3283 90.00 90.00 90.00
Last column: nearest neighbours and their distance in Å.
Positions (direct):
Ca (0.1329, 0.3671, 0.0000)  6 Cu 2.91-3.06, 1 Ca 3.19
Ca (0.3671, 0.8671, 0.0000)  6 Cu 2.91-3.06, 1 Ca 3.19
Ca (0.6329, 0.1329, 0.0000)  6 Cu 2.91-3.06, 1 Ca 3.19
Ca (0.8671, 0.6329, 0.0000)  6 Cu 2.91-3.06, 1 Ca 3.19
Y (0.0000, 0.0000, 0.0000)  4 Ca 3.31, 2 Y 3.33, 8 Cu 3.57
Y (0.5000, 0.5000, 0.0000)  4 Ca 3.31, 2 Y 3.33, 8 Cu 3.57
Cu (0.1679, 0.6679, 0.5000)  6 Ca 2.91-3.06
Cu (0.3321, 0.1679, 0.5000)  6 Ca 2.91-3.06
Cu (0.6679, 0.8321, 0.5000)  6 Ca 2.91-3.06
Cu (0.8321, 0.3321, 0.5000)  6 Ca 2.91-3.06

* calculated volume: 119.7 Å³/f.u.
* E above lowest polymorph: 224 meV per atom
* final energy: -3.60 eV/atom

---

Which of these has the lowest calculated volume? number 5

---

What is the final energy in the fifth record? -7.28 eV/atom